# CaPuMnN3 (PBE, optimized geometry)
data_CaPuMnN3
_chemical_formula_sum 'Ca2 Pu2 Mn2 N6'
_symmetry_space_group_name_H-M 'P 1 21/m 1'
_symmetry_Int_Tables_number 11
_cell_length_a 7.0232
_cell_length_b 3.4220
_cell_length_c 7.5295
_cell_angle_alpha 90.00
_cell_angle_beta 97.11
_cell_angle_gamma 90.00
loop_
_symmetry_equiv_pos_as_xyz
'x,y,z'
'-x,-y,-z'
'-x,y+1/2,-z'
'x,-y+1/2,z'
loop_
_atom_site_label
_atom_site_type_symbol
_atom_site_fract_x
_atom_site_fract_y
_atom_site_fract_z
_atom_site_occupancy
Ca1 Ca 0.1616 0.2500 0.1717 1
Pu1 Pu 0.3608 0.7500 0.8281 1
Mn1 Mn 0.0781 0.2500 0.5945 1
N1 N 0.1272 0.2500 0.8412 1
N2 N 0.1691 0.7500 0.5306 1
N3 N 0.4178 0.7500 0.1282 1
# Energy relative to the elements, uncorrected: -0.851 eV/atom
# M_tot: 5.403 μB per formula unit

# PrSc2IO8 (PBE, optimized geometry)
data_PrSc2IO8
_chemical_formula_sum 'Pr2 Sc4 I2 O16'
_symmetry_space_group_name_H-M 'C m m m'
_symmetry_Int_Tables_number 65
_symmetry_space_group_name_Hall '-C 2 2'
_cell_length_a 6.8042
_cell_length_b 7.0210
_cell_length_c 6.7901
_cell_angle_alpha 90.00
_cell_angle_beta 90.00
_cell_angle_gamma 90.00
loop_
_atom_site_label
_atom_site_type_symbol
_atom_site_fract_x
_atom_site_fract_y
_atom_site_fract_z
_atom_site_occupancy
Pr1 Pr 0.0000 0.0000 0.0000 1
Sc1 Sc 0.0000 0.5000 0.2410 1
I1 I 0.0000 0.0000 0.5000 1
O1 O 0.0000 0.2711 0.5000 1
O2 O 0.0000 0.3263 0.0000 1
O3 O 0.1936 0.0000 0.2959 1
# Energy relative to the elements, uncorrected: -2.221 eV/atom
# M_tot: 0.000 μB per formula unit

# DyEr2Pa2Ru5 (PBE, optimized geometry)
data_DyEr2Pa2Ru5
_chemical_formula_sum 'Dy2 Er4 Pa4 Ru10'
_symmetry_space_group_name_H-M 'P 4/m b m'
_symmetry_Int_Tables_number 127
_symmetry_space_group_name_Hall '-P 4 2ab'
_cell_length_a 10.5758
_cell_length_b 10.5758
_cell_length_c 3.6805
_cell_angle_alpha 90.00
_cell_angle_beta 90.00
_cell_angle_gamma 90.00
loop_
_atom_site_label
_atom_site_type_symbol
_atom_site_fract_x
_atom_site_fract_y
_atom_site_fract_z
_atom_site_occupancy
Dy1 Dy 0.0000 0.0000 0.0000 1
Er1 Er 0.1719 0.3281 0.0000 1
Pa1 Pa 0.1346 0.6346 0.0000 1
Ru1 Ru 0.0000 0.5000 0.5000 1
Ru2 Ru 0.0550 0.7914 0.5000 1
# Formation energy from the elements: -31 kJ per mole of atoms
# M_tot: 0.000 μB per formula unit

# CeNdCoRh (PBE, optimized geometry)
data_CeNdCoRh
_chemical_formula_sum 'Ce4 Nd4 Co4 Rh4'
_symmetry_space_group_name_H-M 'F -4 3 m'
_symmetry_Int_Tables_number 216
_symmetry_space_group_name_Hall 'F -4 2 3'
_cell_length_a 6.9387
_cell_length_b 6.9387
_cell_length_c 6.9387
_cell_angle_alpha 90.00
_cell_angle_beta 90.00
_cell_angle_gamma 90.00
loop_
_atom_site_label
_atom_site_type_symbol
_atom_site_fract_x
_atom_site_fract_y
_atom_site_fract_z
_atom_site_occupancy
Ce1 Ce 0.0000 0.0000 0.0000 1
Nd1 Nd 0.0000 0.0000 0.5000 1
Co1 Co 0.2500 0.2500 0.7500 1
Rh1 Rh 0.2500 0.2500 0.2500 1
# Formation energy from the elements: -30 kJ per mole of atoms
# M_tot: 0.365 μB per formula unit

# UCu4Pt (PBE, optimized geometry)
data_UCu4Pt
_chemical_formula_sum 'U4 Cu16 Pt4'
_symmetry_space_group_name_H-M 'F -4 3 m'
_symmetry_Int_Tables_number 216
_symmetry_space_group_name_Hall 'F -4 2 3'
_cell_length_a 7.0477
_cell_length_b 7.0477
_cell_length_c 7.0477
_cell_angle_alpha 90.00
_cell_angle_beta 90.00
_cell_angle_gamma 90.00
loop_
_atom_site_label
_atom_site_type_symbol
_atom_site_fract_x
_atom_site_fract_y
_atom_site_fract_z
_atom_site_occupancy
U1 U 0.0000 0.0000 0.0000 1
Cu1 Cu 0.1243 0.1243 0.3757 1
Pt1 Pt 0.2500 0.2500 0.7500 1
# Formation energy from the elements: -16 kJ per mole of atoms
# M_tot: 1.114 μB per formula unit

# Ac4LaPr (PBE, optimized geometry)
data_Ac4LaPr
_chemical_formula_sum 'Ac8 La2 Pr2'
_symmetry_space_group_name_H-M 'C 1 2/m 1'
_symmetry_Int_Tables_number 12
_cell_length_a 10.1644
_cell_length_b 5.8480
_cell_length_c 10.2273
_cell_angle_alpha 90.00
_cell_angle_beta 109.39
_cell_angle_gamma 90.00
loop_
_symmetry_equiv_pos_as_xyz
'x,y,z'
'-x,-y,-z'
'-x,y,-z'
'x,-y,z'
'x+1/2,y+1/2,z'
'-x+1/2,-y+1/2,-z'
'-x+1/2,y+1/2,-z'
'x+1/2,-y+1/2,z'
loop_
_atom_site_label
_atom_site_type_symbol
_atom_site_fract_x
_atom_site_fract_y
_atom_site_fract_z
_atom_site_occupancy
Ac1 Ac 0.1249 0.0000 0.3729 1
Ac2 Ac 0.1249 0.5000 0.8746 1
La1 La 0.0000 0.5000 0.5000 1
Pr1 Pr 0.0000 0.0000 0.0000 1
# Formation energy from the elements: 57 kJ per mole of atoms
# M_tot: 0.002 μB per formula unit
# Energy relative to the lowest polymorph listed for this composition: 335 meV/atom

# MnHgS2 (PBE, optimized geometry)
data_MnHgS2
_chemical_formula_sum 'Mn4 Hg4 S8'
_symmetry_space_group_name_H-M 'P 1 21/c 1'
_symmetry_Int_Tables_number 14
_cell_length_a 7.7505
_cell_length_b 4.3767
_cell_length_c 12.4507
_cell_angle_alpha 90.00
_cell_angle_beta 105.80
_cell_angle_gamma 90.00
loop_
_symmetry_equiv_pos_as_xyz
'x,y,z'
'-x,-y,-z'
'-x,y+1/2,-z+1/2'
'x,-y+1/2,z+1/2'
loop_
_atom_site_label
_atom_site_type_symbol
_atom_site_fract_x
_atom_site_fract_y
_atom_site_fract_z
_atom_site_occupancy
Mn1 Mn 0.1609 0.2347 0.0093 1
Hg1 Hg 0.3373 0.2475 0.7355 1
S1 S 0.1014 0.7371 0.9367 1
S2 S 0.4437 0.2141 0.9769 1
# Energy relative to the elements, uncorrected: -0.167 eV/atom
# M_tot: 3.804 μB per formula unit
# Energy relative to the lowest polymorph listed for this composition: 245 meV/atom

# TbDy6Y3 (PBE, optimized geometry)
data_TbDy6Y3
_chemical_formula_sum 'Tb4 Dy24 Y12'
_symmetry_space_group_name_H-M 'C m c 21'
_symmetry_Int_Tables_number 36
_cell_length_a 11.0505
_cell_length_b 19.0101
_cell_length_c 6.1604
_cell_angle_alpha 90.00
_cell_angle_beta 90.00
_cell_angle_gamma 90.00
loop_
_symmetry_equiv_pos_as_xyz
'x,y,z'
'-x,-y,z+1/2'
'-x,y,z'
'x,-y,z+1/2'
'x+1/2,y+1/2,z'
'-x+1/2,-y+1/2,z+1/2'
'-x+1/2,y+1/2,z'
'x+1/2,-y+1/2,z+1/2'
loop_
_atom_site_label
_atom_site_type_symbol
_atom_site_fract_x
_atom_site_fract_y
_atom_site_fract_z
_atom_site_occupancy
Tb1 Tb 0.0000 0.2073 0.0000 1
Dy1 Dy 0.0000 0.0474 0.7818 1
Dy2 Dy 0.0000 0.2825 0.4948 1
Dy3 Dy 0.1647 0.4532 0.3883 1
Dy4 Dy 0.2483 0.2892 0.2212 1
Y1 Y 0.0000 0.3899 0.9255 1
Y2 Y 0.1703 0.1092 0.3153 1
# Formation energy from the elements: 14 kJ per mole of atoms
# M_tot: 0.000 μB per formula unit
# Energy relative to the lowest polymorph listed for this composition: 16 meV/atom